# 1
# Ga2AgPd9 | Alexandria | PBE-GGA | relaxed
data_Ga2AgPd9
_cell_length_a 3.980
_cell_length_b 3.980
_cell_length_c 11.644
_cell_angle_alpha 90.00
_cell_angle_beta 90.00
_cell_angle_gamma 90.00
_symmetry_space_group_name_H-M 'P 4/m m m'
_symmetry_Int_Tables_number 123
_symmetry_space_group_name_Hall '-P 4 2'
loop_
_atom_site_label
_atom_site_type_symbol
_atom_site_fract_x
_atom_site_fract_y
_atom_site_fract_z
Ga1 Ga 0.000 0.000 0.165
Ag1 Ag 0.000 0.000 0.500
Pd1 Pd 0.000 0.500 0.000
Pd2 Pd 0.000 0.500 0.326
Pd3 Pd 0.500 0.500 0.163
Pd4 Pd 0.500 0.500 0.500
# Crystal system: tetragonal
# Energy of formation in meV/atom: -292

# 2
# Si2AgCl | Alexandria | PBE-GGA | relaxed
data_Si2AgCl
_cell_length_a 3.563
_cell_length_b 3.563
_cell_length_c 14.928
_cell_angle_alpha 90.00
_cell_angle_beta 90.00
_cell_angle_gamma 90.00
_symmetry_space_group_name_H-M 'I 4/m m m'
_symmetry_Int_Tables_number 139
_symmetry_space_group_name_Hall '-I 4 2'
loop_
_atom_site_label
_atom_site_type_symbol
_atom_site_fract_x
_atom_site_fract_y
_atom_site_fract_z
Si1 Si 0.000 0.500 0.250
Ag1 Ag 0.000 0.000 0.000
Cl1 Cl 0.000 0.000 0.500
# Crystal system: tetragonal
# Energy relative to the elements, uncorrected in eV/atom: 0.35

# 3
# HoAg2PbSe4 | Alexandria | PBE-GGA | relaxed
data_HoAg2PbSe4
_cell_length_a 6.913
_cell_length_b 4.164
_cell_length_c 7.254
_cell_angle_alpha 90.00
_cell_angle_beta 109.83
_cell_angle_gamma 90.00
_symmetry_space_group_name_H-M 'P 1 2/m 1'
_symmetry_Int_Tables_number 10
_symmetry_space_group_name_Hall '-P 2y'
loop_
_atom_site_label
_atom_site_type_symbol
_atom_site_fract_x
_atom_site_fract_y
_atom_site_fract_z
Ho1 Ho 0.000 0.000 0.000
Ag1 Ag 0.500 0.000 0.500
Ag2 Ag 0.500 0.500 0.000
Pb1 Pb 0.000 0.500 0.500
Se1 Se 0.253 0.500 0.239
Se2 Se 0.264 0.000 0.763
# Crystal system: monoclinic
# Energy relative to the elements, uncorrected in eV/atom: -0.69

# 4
# Cs3TcSn | Alexandria | PBE-GGA | relaxed
data_Cs3TcSn
_cell_length_a 7.341
_cell_length_b 7.341
_cell_length_c 7.341
_cell_angle_alpha 90.00
_cell_angle_beta 90.00
_cell_angle_gamma 90.00
_symmetry_space_group_name_H-M 'P m -3 m'
_symmetry_Int_Tables_number 221
_symmetry_space_group_name_Hall '-P 4 2 3'
loop_
_atom_site_label
_atom_site_type_symbol
_atom_site_fract_x
_atom_site_fract_y
_atom_site_fract_z
Cs1 Cs 0.000 0.000 0.500
Tc1 Tc 0.500 0.500 0.500
Sn1 Sn 0.000 0.000 0.000
# Crystal system: cubic
# Energy of formation in meV/atom: 1197

# 5
# Li3In2Ag | Alexandria | PBE-GGA | relaxed
data_Li3In2Ag
_cell_length_a 4.682
_cell_length_b 13.999
_cell_length_c 3.306
_cell_angle_alpha 90.00
_cell_angle_beta 90.00
_cell_angle_gamma 90.00
_symmetry_space_group_name_H-M 'C m m m'
_symmetry_Int_Tables_number 65
_symmetry_space_group_name_Hall '-C 2 2'
loop_
_atom_site_label
_atom_site_type_symbol
_atom_site_fract_x
_atom_site_fract_y
_atom_site_fract_z
Li1 Li 0.000 0.000 0.000
Li2 Li 0.000 0.341 0.000
In1 In 0.000 0.166 0.500
Ag1 Ag 0.000 0.500 0.500
# Crystal system: orthorhombic
# Energy of formation in meV/atom: -258

# 6
# CdNCl | Alexandria | PBE-GGA | relaxed
data_CdNCl
_cell_length_a 4.050
_cell_length_b 8.068
_cell_length_c 4.360
_cell_angle_alpha 90.00
_cell_angle_beta 90.33
_cell_angle_gamma 90.00
_symmetry_space_group_name_H-M 'P 1 21/m 1'
_symmetry_Int_Tables_number 11
_symmetry_space_group_name_Hall '-P 2yb'
loop_
_atom_site_label
_atom_site_type_symbol
_atom_site_fract_x
_atom_site_fract_y
_atom_site_fract_z
Cd1 Cd 0.000 0.250 0.001
N1 N 0.000 0.250 0.501
Cl1 Cl 0.500 0.000 0.000
# Crystal system: monoclinic
# Energy relative to the elements, uncorrected in eV/atom: 0.69

# 7
# CeTmCdGe | Alexandria | PBE-GGA | relaxed
data_CeTmCdGe
_cell_length_a 7.318
_cell_length_b 7.318
_cell_length_c 7.318
_cell_angle_alpha 90.00
_cell_angle_beta 90.00
_cell_angle_gamma 90.00
_symmetry_space_group_name_H-M 'F -4 3 m'
_symmetry_Int_Tables_number 216
_symmetry_space_group_name_Hall 'F -4 2 3'
loop_
_atom_site_label
_atom_site_type_symbol
_atom_site_fract_x
_atom_site_fract_y
_atom_site_fract_z
Ce1 Ce 0.000 0.000 0.000
Tm1 Tm 0.000 0.000 0.500
Cd1 Cd 0.250 0.250 0.250
Ge1 Ge 0.250 0.250 0.750
# Crystal system: cubic
# Energy of formation in meV/atom: -405

# 8
# Ca2RuCl | Alexandria | PBE-GGA | relaxed
data_Ca2RuCl
_cell_length_a 7.153
_cell_length_b 7.153
_cell_length_c 7.153
_cell_angle_alpha 90.00
_cell_angle_beta 90.00
_cell_angle_gamma 90.00
_symmetry_space_group_name_H-M 'F m -3 m'
_symmetry_Int_Tables_number 225
_symmetry_space_group_name_Hall '-F 4 2 3'
loop_
_atom_site_label
_atom_site_type_symbol
_atom_site_fract_x
_atom_site_fract_y
_atom_site_fract_z
Ca1 Ca 0.250 0.250 0.250
Ru1 Ru 0.000 0.000 0.000
Cl1 Cl 0.000 0.000 0.500
# Crystal system: cubic
# Energy relative to the elements, uncorrected in eV/atom: -0.22

# 9
# DySnIr | Alexandria | PBE-GGA | relaxed
data_DySnIr
_cell_length_a 4.6713
_cell_length_b 4.6713
_cell_length_c 3.3878
_cell_angle_alpha 90.00
_cell_angle_beta 90.00
_cell_angle_gamma 120.00
_symmetry_space_group_name_H-M 'P -6 m 2'
_symmetry_Int_Tables_number 187
_symmetry_space_group_name_Hall 'P -6 2'
loop_
_atom_site_label
_atom_site_type_symbol
_atom_site_fract_x
_atom_site_fract_y
_atom_site_fract_z
Dy1 Dy 0.0000 0.0000 0.0000
Sn1 Sn 0.3333 0.6667 0.5000
Ir1 Ir 0.6667 0.3333 0.5000
# Crystal system: hexagonal
# Energy of formation in meV/atom: -662

# 10
# MgCo2HRh | Alexandria | PBE-GGA | relaxed
data_MgCo2HRh
_cell_length_a 3.699
_cell_length_b 3.699
_cell_length_c 4.013
_cell_angle_alpha 90.00
_cell_angle_beta 90.00
_cell_angle_gamma 90.00
_symmetry_space_group_name_H-M 'P 4/m m m'
_symmetry_Int_Tables_number 123
_symmetry_space_group_name_Hall '-P 4 2'
loop_
_atom_site_label
_atom_site_type_symbol
_atom_site_fract_x
_atom_site_fract_y
_atom_site_fract_z
Mg1 Mg 0.000 0.000 0.000
Co1 Co 0.000 0.500 0.500
H1 H 0.500 0.500 0.500
Rh1 Rh 0.500 0.500 0.000
# Crystal system: tetragonal

# 11
# Mg4InPd3 | Alexandria | PBE-GGA | relaxed
data_Mg4InPd3
_cell_length_a 4.336
_cell_length_b 4.336
_cell_length_c 7.509
_cell_angle_alpha 90.00
_cell_angle_beta 90.00
_cell_angle_gamma 90.00
_symmetry_space_group_name_H-M 'P 4/m m m'
_symmetry_Int_Tables_number 123
_symmetry_space_group_name_Hall '-P 4 2'
loop_
_atom_site_label
_atom_site_type_symbol
_atom_site_fract_x
_atom_site_fract_y
_atom_site_fract_z
Mg1 Mg 0.000 0.500 0.224
In1 In 0.000 0.000 0.500
Pd1 Pd 0.000 0.000 0.000
Pd2 Pd 0.500 0.500 0.000
Pd3 Pd 0.500 0.500 0.500
# Crystal system: tetragonal
# Energy of formation in meV/atom: -565

# 12
# Na4MgRh3O8 | Alexandria | PBE-GGA | relaxed
data_Na4MgRh3O8
_cell_length_a 6.2492
_cell_length_b 6.2492
_cell_length_c 15.8397
_cell_angle_alpha 90.00
_cell_angle_beta 90.00
_cell_angle_gamma 120.00
_symmetry_space_group_name_H-M 'R -3 m'
_symmetry_Int_Tables_number 166
_symmetry_space_group_name_Hall '-R 3 2"'
loop_
_atom_site_label
_atom_site_type_symbol
_atom_site_fract_x
_atom_site_fract_y
_atom_site_fract_z
Na1 Na 0.0000 0.0000 0.0000
Na2 Na 0.0000 0.5000 0.0000
Mg1 Mg 0.0000 0.0000 0.5000
Rh1 Rh 0.0000 0.5000 0.5000
O1 O 0.0000 0.0000 0.2330
O2 O 0.0066 0.5033 0.7661
# Crystal system: trigonal
# Energy relative to the elements, uncorrected in eV/atom: -1.37

E_tot: -4.929, -3.532, -4.185, -2.188, -2.603, -3.003, -4.390, -4.000, -6.484, -5.333, -3.652, -5.657 (eV/atom)
Total magnetic moment: 0.0, 0.0, 0.0, 3.4, 0.0, 4.0, 3.7, 4.0, 0.0, 3.4, 0.0, 2.5 (Bohr magnetons per cell)